Entry 1:
NiSnO2 PBE+U relaxed; crystal system = triclinic; Fermi-level density of states = 1.0 states/eV/cell
1.0
-0.377 0.719 5.317
-6.151 -1.121 -1.935
0.421 -3.086 0.448
O Sn Ni
4 2 2
direct
0.451 0.476 0.021
0.729 0.816 0.521
0.932 0.451 0.521
0.212 0.788 0.021
0.832 0.636 0.021
0.382 0.130 0.022
0.329 0.628 0.520
0.820 0.134 0.520

***

Entry 2:
Mn2CdBr2O2 PBE+U relaxed; crystal system = monoclinic
1.0
3.704 0.000 0.000
1.852 6.541 0.672
1.852 3.004 5.984
Br O Cd Mn
2 2 1 2
direct
0.391 0.802 0.417
0.609 0.198 0.583
0.830 0.312 0.028
0.170 0.688 0.972
0.000 0.000 0.000
0.751 0.692 0.805
0.249 0.308 0.195

***

Summary of E_tot in eV per atom
-5.1457; -5.3262
(order as listed above)